# RbCu2HgBr6 PBE optimized geometry
data_RbCu2HgBr6
_space_group_name_H-M_alt 'C 1 2/c 1'
_space_group_IT_number 15
_cell_length_a 13.845
_cell_length_b 14.513
_cell_length_c 7.133
_cell_angle_alpha 90.00
_cell_angle_beta 102.22
_cell_angle_gamma 90.00
loop_
_space_group_symop_operation_xyz
'x,y,z'
'-x,-y,-z'
'-x,y,-z+1/2'
'x,-y,z+1/2'
'x+1/2,y+1/2,z'
'-x+1/2,-y+1/2,-z'
'-x+1/2,y+1/2,-z+1/2'
'x+1/2,-y+1/2,z+1/2'
loop_
_atom_site_label
_atom_site_fract_x
_atom_site_fract_y
_atom_site_fract_z
Rb1 0.000 0.106 0.250
Cu1 0.210 0.443 0.261
Hg1 0.000 0.291 0.750
Br1 0.106 0.307 0.084
Br2 0.122 0.105 0.718
Br3 0.175 0.420 0.573
# Calculated volume ... 1400.90 Å³/cell
# Formation energy (no corrections) ... -0.61 eV per atom